1.
VASP calculation (PBE) on a geometry-optimized BaLa3Cr structure.

## Properties
Energy relative to the elements, eV/atom: 0.32
DOS(E_F), states/eV/f.u.: 4.5

Unit cell a=5.699 b=5.699 c=5.699 alpha=90.00 beta=90.00 gamma=90.00
Space group Pm-3m (No. 221)
Symmetry-distinct sites (fractional):
Ba: 0.000 0.000 0.000 (multiplicity 1)
La: 0.000 0.500 0.500 (multiplicity 3)
Cr: 0.500 0.500 0.500 (multiplicity 1)

2.
VASP calculation (PBE) on a geometry-optimized Ba2LaCr structure.

## Properties
Energy relative to the elements, eV/atom: 0.60
DOS(E_F), states/eV/f.u.: 6.6

Unit cell a=5.227 b=5.227 c=5.794 alpha=90.00 beta=90.00 gamma=90.00
Space group P4/mmm (No. 123)
Symmetry-distinct sites (fractional):
Ba: 0.000 0.500 0.000 (multiplicity 2)
La: 0.000 0.000 0.500 (multiplicity 1)
Cr: 0.500 0.500 0.500 (multiplicity 1)

3.
VASP calculation (PBE) on a geometry-optimized Ba2LaCr structure.

## Properties
Energy relative to the elements, eV/atom: 0.50
DOS(E_F), states/eV/f.u.: 3.6

Unit cell a=9.991 b=4.158 c=9.364 alpha=90.00 beta=106.83 gamma=90.00
Space group Cm (No. 8)
Symmetry-distinct sites (fractional):
Ba: 0.000 0.000 0.000 (multiplicity 2)
Ba: 0.165 0.000 0.608 (multiplicity 2)
La: 0.294 0.500 0.303 (multiplicity 2)
Cr: 0.008 0.500 0.303 (multiplicity 2)

4.
VASP calculation (PBE) on a geometry-optimized Ba2LaCr structure.

## Properties
Energy relative to the elements, eV/atom: 0.46
DOS(E_F), states/eV/f.u.: 4.9

Unit cell a=4.108 b=6.327 c=12.747 alpha=90.00 beta=90.00 gamma=90.00
Space group Imm2 (No. 44)
Symmetry-distinct sites (fractional):
Ba: 0.000 0.000 0.000 (multiplicity 2)
Ba: 0.000 0.500 0.203 (multiplicity 2)
La: 0.000 0.500 0.800 (multiplicity 2)
Cr: 0.000 0.000 0.477 (multiplicity 2)

5.
VASP calculation (PBE) on a geometry-optimized Ba2LaCr structure.

## Properties
Energy relative to the elements, eV/atom: 0.64
DOS(E_F), states/eV/f.u.: 4.7

Unit cell a=8.610 b=8.610 c=8.610 alpha=90.00 beta=90.00 gamma=90.00
Space group Fm-3m (No. 225)
Symmetry-distinct sites (fractional):
Ba: 0.250 0.250 0.250 (multiplicity 8)
La: 0.000 0.000 0.000 (multiplicity 4)
Cr: 0.000 0.000 0.500 (multiplicity 4)

6.
VASP calculation (PBE) on a geometry-optimized Ba2LaCr structure.

## Properties
Energy relative to the elements, eV/atom: 0.61
DOS(E_F), states/eV/f.u.: 5.7

Unit cell a=5.124 b=5.124 c=11.994 alpha=90.00 beta=90.00 gamma=90.00
Space group I4/mmm (No. 139)
Symmetry-distinct sites (fractional):
Ba: 0.000 0.500 0.250 (multiplicity 4)
La: 0.000 0.000 0.000 (multiplicity 2)
Cr: 0.000 0.000 0.500 (multiplicity 2)

7.
VASP calculation (PBE) on a geometry-optimized Ba2LaCr structure.

## Properties
Energy relative to the elements, eV/atom: 0.61
DOS(E_F), states/eV/f.u.: 4.9

Unit cell a=8.628 b=8.647 c=4.428 alpha=90.00 beta=90.00 gamma=90.00
Space group Cmmm (No. 65)
Symmetry-distinct sites (fractional):
Ba: 0.250 0.250 0.000 (multiplicity 4)
La: 0.000 0.000 0.500 (multiplicity 2)
Cr: 0.000 0.500 0.500 (multiplicity 2)

8.
VASP calculation (PBE) on a geometry-optimized BaLaCr4 structure.

## Properties
Energy relative to the elements, eV/atom: 0.94
DOS(E_F), states/eV/f.u.: 7.0

Unit cell a=8.461 b=8.461 c=8.461 alpha=90.00 beta=90.00 gamma=90.00
Space group F-43m (No. 216)
Symmetry-distinct sites (fractional):
Ba: 0.000 0.000 0.000 (multiplicity 4)
La: 0.250 0.250 0.250 (multiplicity 4)
Cr: 0.124 0.124 0.624 (multiplicity 16)

9.
VASP calculation (PBE) on a geometry-optimized Ba2LaCr structure.

## Properties
Energy relative to the elements, eV/atom: 0.37
DOS(E_F), states/eV/f.u.: 4.5

Unit cell a=4.051 b=4.051 c=10.327 alpha=90.00 beta=90.00 gamma=90.00
Space group P4mm (No. 99)
Symmetry-distinct sites (fractional):
Ba: 0.000 0.000 0.000 (multiplicity 1)
Ba: 0.500 0.500 0.351 (multiplicity 1)
La: 0.500 0.500 0.712 (multiplicity 1)
Cr: 0.000 0.000 0.570 (multiplicity 1)

10.
VASP calculation (PBE) on a geometry-optimized Ba2LaCr structure.

## Properties
Energy relative to the elements, eV/atom: 0.65
DOS(E_F), states/eV/f.u.: 6.0

Unit cell a=4.0228 b=4.0228 c=36.0222 alpha=90.00 beta=90.00 gamma=120.00
Space group R-3m (No. 166, hexagonal axes)
Symmetry-distinct sites (fractional):
Ba: 0.0000 0.0000 0.2388 (multiplicity 6)
La: 0.0000 0.0000 0.0000 (multiplicity 3)
Cr: 0.0000 0.0000 0.5000 (multiplicity 3)

11.
VASP calculation (PBE) on a geometry-optimized Ba2LaCr structure.

## Properties
Energy relative to the elements, eV/atom: 0.49
DOS(E_F), states/eV/f.u.: 6.3

Unit cell a=3.985 b=4.674 c=19.500 alpha=90.00 beta=90.00 gamma=90.00
Space group Immm (No. 71)
Symmetry-distinct sites (fractional):
Ba: 0.000 0.000 0.159 (multiplicity 4)
La: 0.000 0.500 0.000 (multiplicity 2)
Cr: 0.000 0.500 0.500 (multiplicity 2)

12.
VASP calculation (PBE) on a geometry-optimized BaLa2CrN4 structure.

## Properties
E, eV per atom: -7.832
DOS(E_F), states/eV/f.u.: 2.9

Unit cell a=3.614 b=12.718 c=12.408 alpha=90.00 beta=90.00 gamma=90.00
Space group Cmcm (No. 63)
Symmetry-distinct sites (fractional):
Ba: 0.000 0.087 0.250 (multiplicity 4)
La: 0.000 0.369 0.043 (multiplicity 8)
Cr: 0.000 0.183 0.750 (multiplicity 4)
N: 0.000 0.000 0.000 (multiplicity 4)
N: 0.000 0.259 0.630 (multiplicity 8)
N: 0.000 0.388 0.250 (multiplicity 4)

13.
VASP calculation (PBE) on a geometry-optimized Ba2LaCrN4 structure.

## Properties
E, eV per atom: -7.226
DOS(E_F), states/eV/f.u.: 1.8

Unit cell a=7.632 b=7.638 c=5.567 alpha=90.00 beta=90.00 gamma=90.00
Space group Pmn2_1 (No. 31)
Symmetry-distinct sites (fractional):
Ba: 0.243 0.152 0.000 (multiplicity 4)
La: 0.000 0.386 0.488 (multiplicity 2)
Cr: 0.000 0.653 0.943 (multiplicity 2)
N: 0.000 0.423 0.004 (multiplicity 2)
N: 0.000 0.662 0.627 (multiplicity 2)
N: 0.199 0.759 0.026 (multiplicity 4)

14.
VASP calculation (PBE) on a geometry-optimized BaLa2Cr2N6 structure.

## Properties
E, eV per atom: -8.216

Unit cell a=6.086 b=6.165 c=6.770 alpha=65.24 beta=63.35 gamma=65.75
Space group P-1 (No. 2)
Symmetry-distinct sites (fractional):
Ba: 0.000 0.000 0.000 (multiplicity 1)
La: 0.266 0.290 0.305 (multiplicity 2)
Cr: 0.478 0.664 0.318 (multiplicity 2)
N: 0.159 0.713 0.378 (multiplicity 2)
N: 0.337 0.501 0.878 (multiplicity 2)
N: 0.430 0.108 0.685 (multiplicity 2)